1.
{
  "formula": "Rb2ReBrO",
  "functional": "PBEsol",
  "state": "optimized geometry",
  "lattice_angstrom": [[6.139, 0.000, 0.000], [0.000, 6.139, 0.000], [0.000, 0.000, 3.783]],
  "species": ["Rb", "Rb", "Re", "Br", "O"],
  "fractional_positions": [[0.000, 0.500, 0.000], [0.500, 0.000, 0.000], [0.000, 0.000, 0.500], [0.500, 0.500, 0.500], [0.000, 0.000, 0.000]],
  "magnetic_moment_mub_per_fu": 1.75,
  "e_form_raw_ev_per_atom": -0.49
}

***

2.
{
  "formula": "Re2Br2O",
  "functional": "PBEsol",
  "state": "optimized geometry",
  "lattice_angstrom": [[-1.772, 1.772, 7.141], [1.772, -1.772, 7.141], [1.772, 1.772, -7.141]],
  "species": ["Re", "Re", "Br", "Br", "O"],
  "fractional_positions": [[0.250, 0.750, 0.500], [0.750, 0.250, 0.500], [0.103, 0.103, 0.000], [0.897, 0.897, 0.000], [0.500, 0.500, 0.000]],
  "magnetic_moment_mub_per_fu": 0.70,
  "e_form_raw_ev_per_atom": 1.29
}

***

3.
{
  "formula": "ReSe2BrO",
  "functional": "PBEsol",
  "state": "optimized geometry",
  "lattice_angstrom": [[4.702, 0.000, 0.000], [0.000, 4.702, 0.000], [0.000, 0.000, 5.251]],
  "species": ["Re", "Se", "Se", "Br", "O"],
  "fractional_positions": [[0.000, 0.000, 0.000], [0.000, 0.500, 0.000], [0.500, 0.000, 0.000], [0.000, 0.000, 0.500], [0.500, 0.500, 0.500]],
  "magnetic_moment_mub_per_fu": 1.47,
  "e_form_raw_ev_per_atom": 0.86
}

***

4.
{
  "formula": "ReSeBr2O",
  "functional": "PBEsol",
  "state": "optimized geometry",
  "lattice_angstrom": [[5.038, 0.000, 0.000], [0.000, 5.038, 0.000], [0.000, 0.000, 4.679]],
  "species": ["Re", "Se", "Br", "Br", "O"],
  "fractional_positions": [[0.000, 0.000, 0.000], [0.000, 0.000, 0.500], [0.000, 0.500, 0.000], [0.500, 0.000, 0.000], [0.500, 0.500, 0.500]],
  "magnetic_moment_mub_per_fu": 0.64,
  "de_polymorph_ev_per_fu": 0.000,
  "e_form_raw_ev_per_atom": 0.86
}

***

5.
{
  "formula": "ReSeBr2O",
  "functional": "PBEsol",
  "state": "optimized geometry",
  "lattice_angstrom": [[4.766, 0.000, 0.000], [0.000, 4.766, 0.000], [0.000, 0.000, 4.213]],
  "species": ["Re", "Se", "Br", "Br", "O"],
  "fractional_positions": [[0.000, 0.000, 0.000], [0.500, 0.500, 0.000], [0.000, 0.500, 0.500], [0.500, 0.000, 0.500], [0.500, 0.500, 0.500]],
  "magnetic_moment_mub_per_fu": 4.61,
  "de_polymorph_ev_per_fu": 2.698,
  "e_form_raw_ev_per_atom": 1.40
}

***

6.
{
  "formula": "RhBr3O",
  "functional": "PBEsol",
  "state": "optimized geometry",
  "lattice_angstrom": [[4.934, 0.000, 0.000], [0.000, 4.934, 0.000], [0.000, 0.000, 4.934]],
  "species": ["Rh", "Br", "Br", "Br", "O"],
  "fractional_positions": [[0.000, 0.000, 0.000], [0.000, 0.000, 0.500], [0.000, 0.500, 0.000], [0.500, 0.000, 0.000], [0.500, 0.500, 0.500]],
  "magnetic_moment_mub_per_fu": 3.31,
  "e_form_raw_ev_per_atom": 0.64
}

***

7.
{
  "formula": "RhBrO2",
  "functional": "PBEsol",
  "state": "optimized geometry",
  "lattice_angstrom": [[1.469, 0.848, 9.165], [-1.469, 0.848, 9.165], [0.000, -1.696, 9.165]],
  "species": ["Rh", "Br", "O", "O"],
  "fractional_positions": [[0.000, 0.000, 0.000], [0.500, 0.500, 0.500], [0.062, 0.062, 0.062], [0.938, 0.938, 0.938]],
  "magnetic_moment_mub_per_fu": 0.00,
  "e_form_raw_ev_per_atom": 0.24
}

***

8.
{
  "formula": "Rh3BrO",
  "functional": "PBEsol",
  "state": "optimized geometry",
  "lattice_angstrom": [[4.528, 0.000, 0.000], [0.000, 4.528, 0.000], [0.000, 0.000, 4.528]],
  "species": ["Rh", "Rh", "Rh", "Br", "O"],
  "fractional_positions": [[0.000, 0.000, 0.500], [0.000, 0.500, 0.000], [0.500, 0.000, 0.000], [0.000, 0.000, 0.000], [0.500, 0.500, 0.500]],
  "magnetic_moment_mub_per_fu": 3.12,
  "e_form_raw_ev_per_atom": 1.72
}

***

9.
{
  "formula": "RhBr2O",
  "functional": "PBEsol",
  "state": "optimized geometry",
  "lattice_angstrom": [[0.000, 3.094, 3.094], [3.094, 0.000, 3.094], [3.094, 3.094, 0.000]],
  "species": ["Rh", "Br", "Br", "O"],
  "fractional_positions": [[0.000, 0.000, 0.000], [0.250, 0.250, 0.250], [0.750, 0.750, 0.750], [0.500, 0.500, 0.500]],
  "magnetic_moment_mub_per_fu": 0.50,
  "e_form_raw_ev_per_atom": 0.70
}

***

10.
{
  "formula": "Ru3BrO",
  "functional": "PBEsol",
  "state": "optimized geometry",
  "lattice_angstrom": [[4.510, 0.000, 0.000], [0.000, 4.510, 0.000], [0.000, 0.000, 4.510]],
  "species": ["Ru", "Ru", "Ru", "Br", "O"],
  "fractional_positions": [[0.000, 0.000, 0.500], [0.000, 0.500, 0.000], [0.500, 0.000, 0.000], [0.000, 0.000, 0.000], [0.500, 0.500, 0.500]],
  "magnetic_moment_mub_per_fu": 5.46,
  "e_form_raw_ev_per_atom": 2.24
}

***

11.
{
  "formula": "RuSeBr2O",
  "functional": "PBEsol",
  "state": "optimized geometry",
  "lattice_angstrom": [[5.064, 0.000, 0.000], [0.000, 5.064, 0.000], [0.000, 0.000, 4.569]],
  "species": ["Ru", "Se", "Br", "Br", "O"],
  "fractional_positions": [[0.000, 0.000, 0.000], [0.000, 0.000, 0.500], [0.000, 0.500, 0.000], [0.500, 0.000, 0.000], [0.500, 0.500, 0.500]],
  "magnetic_moment_mub_per_fu": 1.36,
  "e_form_raw_ev_per_atom": 0.76
}

***

12.
{
  "formula": "Se2SBrO",
  "functional": "PBEsol",
  "state": "optimized geometry",
  "lattice_angstrom": [[4.789, 0.000, 0.000], [0.000, 4.789, 0.000], [0.000, 0.000, 4.918]],
  "species": ["Se", "Se", "S", "Br", "O"],
  "fractional_positions": [[0.000, 0.500, 0.000], [0.500, 0.000, 0.000], [0.000, 0.000, 0.000], [0.000, 0.000, 0.500], [0.500, 0.500, 0.500]],
  "magnetic_moment_mub_per_fu": 2.26,
  "e_form_raw_ev_per_atom": 1.04
}

***

13.
{
  "formula": "WSBrO2",
  "functional": "PBEsol",
  "state": "optimized geometry",
  "lattice_angstrom": [[3.832, 0.000, 0.000], [0.000, 3.832, 0.000], [0.000, 0.000, 4.981]],
  "species": ["W", "S", "Br", "O", "O"],
  "fractional_positions": [[0.000, 0.000, 0.000], [0.000, 0.000, 0.500], [0.500, 0.500, 0.500], [0.000, 0.500, 0.000], [0.500, 0.000, 0.000]],
  "magnetic_moment_mub_per_fu": 0.00,
  "e_form_raw_ev_per_atom": -1.00
}

***

14.
{
  "formula": "Sb8Br2O11",
  "functional": "PBEsol",
  "state": "optimized geometry",
  "lattice_angstrom": [[10.431, 0.000, 0.000], [3.215, 10.681, 0.000], [3.306, 1.870, 13.493]],
  "species": ["Sb", "Sb", "Sb", "Sb", "Sb", "Sb", "Sb", "Sb", "Sb", "Sb", "Sb", "Sb", "Sb", "Sb", "Sb", "Sb", "Sb", "Sb", "Sb", "Sb", "Sb", "Sb", "Sb", "Sb", "Sb", "Sb", "Sb", "Sb", "Sb", "Sb", "Sb", "Sb", "Br", "Br", "Br", "Br", "Br", "Br", "Br", "Br", "O", "O", "O", "O", "O", "O", "O", "O", "O", "O", "O", "O", "O", "O", "O", "O", "O", "O", "O", "O", "O", "O", "O", "O", "O", "O", "O", "O", "O", "O", "O", "O", "O", "O", "O", "O", "O", "O", "O", "O", "O", "O", "O", "O"],
  "fractional_positions": [[0.001, 0.393, 0.434], [0.009, 0.113, 0.060], [0.013, 0.121, 0.687], [0.016, 0.353, 0.812], [0.155, 0.636, 0.816], [0.155, 0.908, 0.533], [0.179, 0.394, 0.060], [0.191, 0.150, 0.301], [0.276, 0.879, 0.136], [0.292, 0.136, 0.890], [0.298, 0.373, 0.633], [0.312, 0.626, 0.361], [0.338, 0.639, 0.987], [0.338, 0.896, 0.746], [0.366, 0.382, 0.228], [0.370, 0.144, 0.477], [0.630, 0.856, 0.523], [0.634, 0.618, 0.772], [0.662, 0.104, 0.254], [0.662, 0.361, 0.013], [0.688, 0.374, 0.639], [0.702, 0.627, 0.367], [0.708, 0.864, 0.110], [0.724, 0.121, 0.864], [0.809, 0.850, 0.699], [0.821, 0.606, 0.940], [0.845, 0.092, 0.467], [0.845, 0.364, 0.184], [0.984, 0.647, 0.188], [0.987, 0.879, 0.313], [0.991, 0.887, 0.940], [0.999, 0.607, 0.566], [0.456, 0.671, 0.587], [0.473, 0.394, 0.848], [0.488, 0.872, 0.329], [0.494, 0.132, 0.088], [0.506, 0.868, 0.912], [0.512, 0.128, 0.671], [0.527, 0.606, 0.152], [0.544, 0.329, 0.413], [0.008, 0.505, 0.876], [0.009, 0.248, 0.365], [0.021, 0.239, 0.142], [0.028, 0.974, 0.410], [0.073, 0.969, 0.187], [0.088, 0.232, 0.932], [0.094, 0.474, 0.663], [0.176, 0.626, 0.487], [0.179, 0.585, 0.958], [0.182, 0.947, 0.668], [0.200, 0.782, 0.291], [0.209, 0.319, 0.205], [0.213, 0.768, 0.070], [0.214, 0.040, 0.030], [0.214, 0.068, 0.466], [0.221, 0.036, 0.820], [0.223, 0.301, 0.772], [0.238, 0.509, 0.310], [0.239, 0.268, 0.560], [0.254, 0.766, 0.841], [0.292, 0.494, 0.100], [0.310, 0.235, 0.351], [0.690, 0.765, 0.649], [0.708, 0.506, 0.900], [0.746, 0.234, 0.159], [0.761, 0.732, 0.440], [0.762, 0.491, 0.690], [0.777, 0.699, 0.228], [0.779, 0.964, 0.180], [0.786, 0.932, 0.534], [0.786, 0.960, 0.970], [0.787, 0.232, 0.930], [0.791, 0.681, 0.795], [0.800, 0.218, 0.709], [0.818, 0.053, 0.332], [0.821, 0.415, 0.042], [0.824, 0.374, 0.513], [0.906, 0.526, 0.337], [0.912, 0.768, 0.068], [0.927, 0.031, 0.813], [0.972, 0.026, 0.590], [0.979, 0.761, 0.858], [0.991, 0.752, 0.635], [0.992, 0.495, 0.124]],
  "magnetic_moment_mub_per_fu": 0.00,
  "e_form_raw_ev_per_atom": -1.27
}

***

15.
{
  "formula": "SbBrO3",
  "functional": "PBEsol",
  "state": "optimized geometry",
  "lattice_angstrom": [[4.012, 0.000, 0.000], [0.000, 4.012, 0.000], [0.000, 0.000, 4.012]],
  "species": ["Sb", "Br", "O", "O", "O"],
  "fractional_positions": [[0.000, 0.000, 0.000], [0.500, 0.500, 0.500], [0.000, 0.000, 0.500], [0.000, 0.500, 0.000], [0.500, 0.000, 0.000]],
  "magnetic_moment_mub_per_fu": 1.93,
  "e_form_raw_ev_per_atom": -0.38
}

***

16.
{
  "formula": "Sb2TeBrO",
  "functional": "PBEsol",
  "state": "optimized geometry",
  "lattice_angstrom": [[5.499, 0.000, 0.000], [0.000, 5.499, 0.000], [0.000, 0.000, 5.409]],
  "species": ["Sb", "Sb", "Te", "Br", "O"],
  "fractional_positions": [[0.000, 0.500, 0.000], [0.500, 0.000, 0.000], [0.000, 0.000, 0.500], [0.000, 0.000, 0.000], [0.500, 0.500, 0.500]],
  "magnetic_moment_mub_per_fu": 1.34,
  "e_form_raw_ev_per_atom": 1.43
}

***

17.
{
  "formula": "ScBr3O",
  "functional": "PBEsol",
  "state": "optimized geometry",
  "lattice_angstrom": [[5.195, 0.000, 0.000], [0.000, 5.195, 0.000], [0.000, 0.000, 5.195]],
  "species": ["Sc", "Br", "Br", "Br", "O"],
  "fractional_positions": [[0.000, 0.000, 0.000], [0.000, 0.000, 0.500], [0.000, 0.500, 0.000], [0.500, 0.000, 0.000], [0.500, 0.500, 0.500]],
  "magnetic_moment_mub_per_fu": 2.00,
  "de_polymorph_ev_per_fu": 0.000,
  "e_form_raw_ev_per_atom": -0.55
}

***

18.
{
  "formula": "ScBr3O",
  "functional": "PBEsol",
  "state": "optimized geometry",
  "lattice_angstrom": [[4.684, 0.000, 0.000], [0.000, 4.684, 0.000], [0.000, 0.000, 4.684]],
  "species": ["Sc", "Br", "Br", "Br", "O"],
  "fractional_positions": [[0.000, 0.000, 0.000], [0.000, 0.500, 0.500], [0.500, 0.000, 0.500], [0.500, 0.500, 0.000], [0.500, 0.500, 0.500]],
  "magnetic_moment_mub_per_fu": 0.81,
  "de_polymorph_ev_per_fu": 2.453,
  "e_form_raw_ev_per_atom": -0.06
}

***

19.
{
  "formula": "ScBrO",
  "functional": "PBEsol",
  "state": "optimized geometry",
  "lattice_angstrom": [[3.529, 0.000, 0.000], [0.000, 3.942, 0.000], [0.000, 0.000, 8.860]],
  "species": ["Sc", "Sc", "Br", "Br", "O", "O"],
  "fractional_positions": [[0.250, 0.250, 0.104], [0.750, 0.750, 0.896], [0.250, 0.750, 0.674], [0.750, 0.250, 0.326], [0.250, 0.750, 0.031], [0.750, 0.250, 0.969]],
  "magnetic_moment_mub_per_fu": 0.00,
  "e_form_raw_ev_per_atom": -2.80
}

***

20.
{
  "formula": "ScBrO",
  "functional": "PBEsol",
  "state": "optimized geometry",
  "lattice_angstrom": [[3.582, 0.000, 0.000], [0.000, 3.582, 0.000], [0.000, 0.000, 8.506]],
  "species": ["Sc", "Sc", "Br", "Br", "O", "O"],
  "fractional_positions": [[0.250, 0.250, 0.121], [0.750, 0.750, 0.879], [0.250, 0.250, 0.685], [0.750, 0.750, 0.315], [0.250, 0.750, 0.000], [0.750, 0.250, 0.000]],
  "magnetic_moment_mub_per_fu": 0.00,
  "e_form_raw_ev_per_atom": -2.76
}

***

21.
{
  "formula": "ScBr2O",
  "functional": "PBEsol",
  "state": "optimized geometry",
  "lattice_angstrom": [[1.847, 1.066, 7.283], [-1.847, 1.066, 7.283], [0.000, -2.132, 7.283]],
  "species": ["Sc", "Br", "Br", "O"],
  "fractional_positions": [[0.000, 0.000, 0.000], [0.408, 0.408, 0.408], [0.592, 0.592, 0.592], [0.500, 0.500, 0.500]],
  "magnetic_moment_mub_per_fu": 0.00,
  "e_form_raw_ev_per_atom": -0.63
}

***

22.
{
  "formula": "SeBrO2",
  "functional": "PBEsol",
  "state": "optimized geometry",
  "lattice_angstrom": [[0.000, 4.265, 4.265], [4.265, 0.000, 4.265], [4.265, 4.265, 0.000]],
  "species": ["Se", "Se", "Br", "Br", "O", "O", "O", "O"],
  "fractional_positions": [[0.125, 0.125, 0.125], [0.875, 0.875, 0.875], [0.375, 0.375, 0.375], [0.625, 0.625, 0.625], [0.000, 0.000, 0.000], [0.000, 0.000, 0.500], [0.000, 0.500, 0.000], [0.500, 0.000, 0.000]],
  "magnetic_moment_mub_per_fu": 0.74,
  "e_form_raw_ev_per_atom": 0.05
}

***

23.
{
  "formula": "TlSe2BrO",
  "functional": "PBEsol",
  "state": "optimized geometry",
  "lattice_angstrom": [[4.190, 0.000, 0.000], [0.000, 4.190, 0.000], [0.000, 0.000, 6.362]],
  "species": ["Tl", "Se", "Se", "Br", "O"],
  "fractional_positions": [[0.000, 0.000, 0.000], [0.000, 0.500, 0.500], [0.500, 0.000, 0.500], [0.500, 0.500, 0.000], [0.500, 0.500, 0.500]],
  "magnetic_moment_mub_per_fu": 0.00,
  "e_form_raw_ev_per_atom": 0.02
}

***

24.
{
  "formula": "ZrSe2BrO",
  "functional": "PBEsol",
  "state": "optimized geometry",
  "lattice_angstrom": [[5.142, 0.000, 0.000], [0.000, 5.142, 0.000], [0.000, 0.000, 5.225]],
  "species": ["Zr", "Se", "Se", "Br", "O"],
  "fractional_positions": [[0.000, 0.000, 0.000], [0.000, 0.500, 0.000], [0.500, 0.000, 0.000], [0.000, 0.000, 0.500], [0.500, 0.500, 0.500]],
  "magnetic_moment_mub_per_fu": 2.32,
  "e_form_raw_ev_per_atom": 0.02
}